1.
First-principles (PBE) data for a relaxed structure of Nd2TaGa3Ir4, as listed in Alexandria.

Computed properties:
- DFT formation energy: -6.7 eV/f.u.
- Volume: 193.6 Å³ per cell
- Crystal system: tetragonal

Unit cell a=4.2560 b=4.2560 c=10.6882 alpha=90.00 beta=90.00 gamma=90.00
Last column: nearest neighbours and their distance in Å.
Element x y z (fractional)
Nd 0.0000 0.5000 0.2301  6 Ga 3.21-3.59, 8 Ir 3.25-3.33, 2 Ta 3.59
Nd 0.5000 0.0000 0.7699  6 Ga 3.21-3.59, 8 Ir 3.25-3.33, 2 Ta 3.59
Ta 0.0000 0.0000 0.5000  4 Ir 2.58
Ga 0.0000 0.5000 0.8754  5 Ir 2.51-2.54
Ga 0.5000 0.0000 0.1246  5 Ir 2.51-2.54
Ga 0.5000 0.5000 0.5000  4 Ir 2.58
Ir 0.0000 0.0000 0.0000  4 Ga 2.51
Ir 0.0000 0.5000 0.6373  3 Ga 2.54-2.58, 2 Ta 2.58
Ir 0.5000 0.0000 0.3627  3 Ga 2.54-2.58, 2 Ta 2.58
Ir 0.5000 0.5000 0.0000  4 Ga 2.51

2.
First-principles (PBE) data for a relaxed structure of BaCd2SbPd, as listed in Alexandria.

Computed properties:
- Formation energy without anion corrections: -0.41 eV per atom
- Volume: 147.9 Å³ per cell
- Crystal system: tetragonal

Unit cell a=5.2348 b=5.2348 c=5.3977 alpha=90.00 beta=90.00 gamma=90.00
Last column: nearest neighbours and their distance in Å.
Element x y z (fractional)
Ba 0.0000 0.0000 0.0000  4 Sb 3.70, 8 Cd 3.76
Cd 0.0000 0.5000 0.5000  2 Pd 2.62
Cd 0.5000 0.0000 0.5000  2 Pd 2.62
Sb 0.5000 0.5000 0.0000  2 Pd 2.70
Pd 0.5000 0.5000 0.5000  4 Cd 2.62, 2 Sb 2.70

3.
First-principles (PBE) data for a relaxed structure of Li2PuSbTe4, as listed in Alexandria.

Computed properties:
- Formation energy without anion corrections: -0.71 eV per atom
- Volume: 233.6 Å³ per cell
- Crystal system: monoclinic

Unit cell a=7.4491 b=4.3886 c=7.6103 alpha=90.00 beta=110.10 gamma=90.00
Last column: nearest neighbours and their distance in Å.
Element x y z (fractional)
Li 0.0000 0.0000 0.0000  6 Te 3.02-3.04
Li 0.0000 0.5000 0.5000  6 Te 3.05-3.07
Pu 0.5000 0.0000 0.5000  6 Te 3.12-3.15
Sb 0.5000 0.5000 0.0000  6 Te 3.10
Te 0.2408 0.0000 0.7509  3 Li 3.02-3.05, 2 Sb 3.10, 1 Pu 3.15
Te 0.2422 0.5000 0.2444  3 Li 3.04-3.07, 1 Sb 3.10, 2 Pu 3.12
Te 0.7578 0.5000 0.7556  3 Li 3.04-3.07, 1 Sb 3.10, 2 Pu 3.12
Te 0.7592 0.0000 0.2491  3 Li 3.02-3.05, 2 Sb 3.10, 1 Pu 3.15

4.
First-principles (PBE) data for a relaxed structure of Be2GaNi8, as listed in Alexandria.

Computed properties:
- DFT formation energy: -1.3 eV/f.u.
- Volume: 118.7 Å³ per cell
- Crystal system: monoclinic

Unit cell a=5.8165 b=5.8165 c=4.0779 alpha=100.71 beta=100.71 gamma=113.84
Last column: nearest neighbours and their distance in Å.
Element x y z (fractional)
Be 0.1896 0.8104 0.0000  8 Ni 2.14-2.21
Be 0.8104 0.1896 0.0000  8 Ni 2.14-2.21
Ga 0.5000 0.5000 0.5000  8 Ni 2.35-2.63
Ni 0.1031 0.1031 0.3099  2 Be 2.21, 2 Ni 2.35-2.42, 1 Ga 2.37
Ni 0.1718 0.4164 0.9015  2 Be 2.14-2.21, 1 Ni 2.38
Ni 0.2587 0.7413 0.5000  2 Be 2.15, 1 Ga 2.35
Ni 0.4164 0.1718 0.9015  2 Be 2.14-2.21, 1 Ni 2.38
Ni 0.5836 0.8282 0.0985  2 Be 2.14-2.21, 1 Ni 2.38
Ni 0.7413 0.2587 0.5000  2 Be 2.15, 1 Ga 2.35
Ni 0.8282 0.5836 0.0985  2 Be 2.14-2.21, 1 Ni 2.38
Ni 0.8969 0.8969 0.6901  2 Be 2.21, 2 Ni 2.35-2.42, 1 Ga 2.37

- Which of these has the highest volume?
  Li2PuSbTe4

- Among the records above, which one has the highest volume?
  Li2PuSbTe4